Material: Zr2TiAs2
Method: DFT, PBE
State: optimized geometry

Geometry as CIF:
```
data_Zr2TiAs2
_chemical_formula_sum 'Zr8 Ti4 As8'
_space_group_name_H-M_alt 'C m c 21'
_space_group_IT_number 36
_cell_length_a 3.777
_cell_length_b 15.810
_cell_length_c 6.709
_cell_angle_alpha 90.00
_cell_angle_beta 90.00
_cell_angle_gamma 90.00
loop_
_space_group_symop_operation_xyz
'x,y,z'
'-x,-y,z+1/2'
'-x,y,z'
'x,-y,z+1/2'
'x+1/2,y+1/2,z'
'-x+1/2,-y+1/2,z+1/2'
'-x+1/2,y+1/2,z'
'x+1/2,-y+1/2,z+1/2'
loop_
_atom_site_label
_atom_site_fract_x
_atom_site_fract_y
_atom_site_fract_z
Zr1 0.000 0.035 0.000
Zr2 0.000 0.186 0.380
Ti1 0.000 0.396 0.179
As1 0.000 0.194 0.807
As2 0.000 0.440 0.796
```

**ΔE to the lowest computed polymorph**: 0.091 eV per atom
**M_tot**: 0.000 μB per formula unit
**Calculated density**: 6.3 g/cm³
**Volume**: 20.03 Å³/atom
**E_tot**: -7.731 eV/atom

Material: ZrTi3As
Method: DFT, PBE
State: optimized geometry

Geometry as CIF:
```
data_ZrTi3As
_chemical_formula_sum 'Zr1 Ti3 As1'
_space_group_name_H-M_alt 'P m -3 m'
_space_group_IT_number 221
_space_group_name_Hall '-P 4 2 3'
_cell_length_a 4.810
_cell_length_b 4.810
_cell_length_c 4.810
_cell_angle_alpha 90.00
_cell_angle_beta 90.00
_cell_angle_gamma 90.00
loop_
_atom_site_label
_atom_site_fract_x
_atom_site_fract_y
_atom_site_fract_z
Zr1 0.000 0.000 0.000
Ti1 0.000 0.000 0.500
As1 0.500 0.500 0.500
```

**ΔE to the lowest computed polymorph**: 1.633 eV per atom
**M_tot**: 1.931 μB per formula unit
**Calculated density**: 4.6 g/cm³
**Volume**: 22.25 Å³/atom
**E_tot**: -6.232 eV/atom

Material: ZrTi3As2
Method: DFT, PBE
State: optimized geometry

Geometry as CIF:
```
data_ZrTi3As2
_chemical_formula_sum 'Zr4 Ti12 As8'
_space_group_name_H-M_alt 'C 1 2/m 1'
_space_group_IT_number 12
_cell_length_a 15.770
_cell_length_b 3.569
_cell_length_c 8.220
_cell_angle_alpha 90.00
_cell_angle_beta 115.98
_cell_angle_gamma 90.00
loop_
_space_group_symop_operation_xyz
'x,y,z'
'-x,-y,-z'
'-x,y,-z'
'x,-y,z'
'x+1/2,y+1/2,z'
'-x+1/2,-y+1/2,-z'
'-x+1/2,y+1/2,-z'
'x+1/2,-y+1/2,z'
loop_
_atom_site_label
_atom_site_fract_x
_atom_site_fract_y
_atom_site_fract_z
Zr1 0.113 0.000 0.122
Ti1 0.051 0.000 0.656
Ti2 0.158 0.500 0.476
Ti3 0.184 0.500 0.895
As1 0.008 0.500 0.827
As2 0.239 0.000 0.728
```

**ΔE to the lowest computed polymorph**: 0.136 eV per atom
**M_tot**: 0.000 μB per formula unit
**Calculated density**: 6.1 g/cm³
**Volume**: 17.33 Å³/atom
**E_tot**: -7.684 eV/atom

Material: ZrTi3As2
Method: DFT, PBE
State: optimized geometry

Geometry as CIF:
```
data_ZrTi3As2
_chemical_formula_sum 'Zr2 Ti6 As4'
_space_group_name_H-M_alt 'I 4 m m'
_space_group_IT_number 107
_space_group_name_Hall 'I 4 -2'
_cell_length_a 3.738
_cell_length_b 3.738
_cell_length_c 14.625
_cell_angle_alpha 90.00
_cell_angle_beta 90.00
_cell_angle_gamma 90.00
loop_
_atom_site_label
_atom_site_fract_x
_atom_site_fract_y
_atom_site_fract_z
Zr1 0.000 0.000 0.000
Ti1 0.000 0.000 0.642
Ti2 0.000 0.500 0.317
As1 0.000 0.000 0.186
As2 0.000 0.000 0.451
```

**ΔE to the lowest computed polymorph**: 0.000 eV per atom
**M_tot**: 0.000 μB per formula unit
**Calculated density**: 6.3 g/cm³
**Volume**: 17.03 Å³/atom
**E_tot**: -7.820 eV/atom

Material: ZrTi3As
Method: DFT, PBE
State: optimized geometry

Geometry as CIF:
```
data_ZrTi3As
_chemical_formula_sum 'Zr1 Ti3 As1'
_space_group_name_H-M_alt 'P m -3 m'
_space_group_IT_number 221
_space_group_name_Hall '-P 4 2 3'
_cell_length_a 4.713
_cell_length_b 4.713
_cell_length_c 4.713
_cell_angle_alpha 90.00
_cell_angle_beta 90.00
_cell_angle_gamma 90.00
loop_
_atom_site_label
_atom_site_fract_x
_atom_site_fract_y
_atom_site_fract_z
Zr1 0.000 0.000 0.000
Ti1 0.000 0.500 0.500
As1 0.500 0.500 0.500
```

**ΔE to the lowest computed polymorph**: 0.555 eV per atom
**M_tot**: 0.705 μB per formula unit
**Calculated density**: 4.9 g/cm³
**Volume**: 20.94 Å³/atom
**E_tot**: -7.309 eV/atom

Material: Zr2TiAs2
Method: DFT, PBE
State: optimized geometry

Geometry as CIF:
```
data_Zr2TiAs2
_chemical_formula_sum 'Zr4 Ti2 As4'
_space_group_name_H-M_alt 'P 4/m b m'
_space_group_IT_number 127
_space_group_name_Hall '-P 4 2ab'
_cell_length_a 7.026
_cell_length_b 7.026
_cell_length_c 3.750
_cell_angle_alpha 90.00
_cell_angle_beta 90.00
_cell_angle_gamma 90.00
loop_
_atom_site_label
_atom_site_fract_x
_atom_site_fract_y
_atom_site_fract_z
Zr1 0.161 0.339 0.000
Ti1 0.000 0.000 0.500
As1 0.145 0.645 0.500
```

**ΔE to the lowest computed polymorph**: 0.000 eV per atom
**M_tot**: 0.000 μB per formula unit
**Calculated density**: 6.8 g/cm³
**Volume**: 18.51 Å³/atom
**E_tot**: -7.822 eV/atom

Material: ZrTi2As3
Method: DFT, PBE
State: optimized geometry

Geometry as CIF:
```
data_ZrTi2As3
_chemical_formula_sum 'Zr2 Ti4 As6'
_space_group_name_H-M_alt 'P m c 21'
_space_group_IT_number 26
_cell_length_a 3.599
_cell_length_b 9.999
_cell_length_c 6.246
_cell_angle_alpha 90.00
_cell_angle_beta 90.00
_cell_angle_gamma 90.00
loop_
_space_group_symop_operation_xyz
'x,y,z'
'-x,-y,z+1/2'
'-x,y,z'
'x,-y,z+1/2'
loop_
_atom_site_label
_atom_site_fract_x
_atom_site_fract_y
_atom_site_fract_z
Zr1 0.000 0.122 0.000
Ti1 0.000 0.212 0.490
Ti2 0.500 0.485 0.500
As1 0.000 0.387 0.773
As2 0.500 0.065 0.666
As3 0.500 0.289 0.219
```

**M_tot**: 0.000 μB per formula unit
**Calculated density**: 6.1 g/cm³
**Volume**: 18.73 Å³/atom
**E_tot**: -7.263 eV/atom

Material: ZrTi3As
Method: DFT, PBE
State: optimized geometry

Geometry as CIF:
```
data_ZrTi3As
_chemical_formula_sum 'Zr4 Ti12 As4'
_space_group_name_H-M_alt 'P n m a'
_space_group_IT_number 62
_cell_length_a 8.727
_cell_length_b 3.490
_cell_length_c 11.858
_cell_angle_alpha 90.00
_cell_angle_beta 90.00
_cell_angle_gamma 90.00
loop_
_space_group_symop_operation_xyz
'x,y,z'
'-x,-y,-z'
'-x+1/2,-y,z+1/2'
'x+1/2,y,-z+1/2'
'x+1/2,-y+1/2,-z+1/2'
'-x+1/2,y+1/2,z+1/2'
'-x,y+1/2,-z'
'x,-y+1/2,z'
loop_
_atom_site_label
_atom_site_fract_x
_atom_site_fract_y
_atom_site_fract_z
Zr1 0.164 0.250 0.004
Ti1 0.066 0.250 0.415
Ti2 0.081 0.750 0.223
Ti3 0.168 0.750 0.793
As1 0.148 0.250 0.629
```

**ΔE to the lowest computed polymorph**: 0.000 eV per atom
**M_tot**: 0.000 μB per formula unit
**Calculated density**: 5.7 g/cm³
**Volume**: 18.06 Å³/atom
**E_tot**: -7.865 eV/atom

no.,ΔH_f (0 K) (eV per atom)
1,-0.873
2,1.144
3,-0.762
4,-0.898
5,0.067
6,-0.964
7,-0.882
8,-0.488